Arrangement i

Material: MgInIr2
Method: DFT, GGA-PBE
State: relaxed

## Properties
The mass density comes out at 13.07 g/cm³.

CIF file:
```
data_MgInIr2
_symmetry_space_group_name_H-M 'C 1 m 1'
_symmetry_Int_Tables_number 8
_cell_length_a 10.2525
_cell_length_b 2.9506
_cell_length_c 4.8076
_cell_angle_alpha 90.00
_cell_angle_beta 113.79
_cell_angle_gamma 90.00
loop_
_symmetry_equiv_pos_as_xyz
'x,y,z'
'x,-y,z'
'x+1/2,y+1/2,z'
'x+1/2,-y+1/2,z'
loop_
_atom_site_label
_atom_site_type_symbol
_atom_site_fract_x
_atom_site_fract_y
_atom_site_fract_z
Mg1 Mg 0.0000 0.0000 0.0000
In1 In 0.2194 0.0000 0.6015
Ir1 Ir 0.2543 0.5000 0.1143
Ir2 Ir 0.4712 0.0000 0.4992
```

***

Arrangement ii

Material: MgInIr2
Method: DFT, GGA-PBE
State: relaxed

## Properties
The mass density comes out at 13.43 g/cm³.

CIF file:
```
data_MgInIr2
_symmetry_space_group_name_H-M 'P 4/m m m'
_symmetry_Int_Tables_number 123
_symmetry_space_group_name_Hall '-P 4 2'
_cell_length_a 4.4738
_cell_length_b 4.4738
_cell_length_c 3.2342
_cell_angle_alpha 90.00
_cell_angle_beta 90.00
_cell_angle_gamma 90.00
loop_
_atom_site_label
_atom_site_type_symbol
_atom_site_fract_x
_atom_site_fract_y
_atom_site_fract_z
Mg1 Mg 0.0000 0.0000 0.0000
In1 In 0.5000 0.5000 0.0000
Ir1 Ir 0.0000 0.5000 0.5000
```

***

The least stable of them is arrangement i.

***

Arrangement i

Material: Mg6InIr
Method: DFT, GGA-PBE
State: relaxed

## Properties
The mass density comes out at 4.10 g/cm³.

CIF file:
```
data_Mg6InIr
_symmetry_space_group_name_H-M 'C 1 2/m 1'
_symmetry_Int_Tables_number 12
_cell_length_a 6.3444
_cell_length_b 10.8476
_cell_length_c 6.1920
_cell_angle_alpha 90.00
_cell_angle_beta 120.67
_cell_angle_gamma 90.00
loop_
_symmetry_equiv_pos_as_xyz
'x,y,z'
'-x,-y,-z'
'-x,y,-z'
'x,-y,z'
'x+1/2,y+1/2,z'
'-x+1/2,-y+1/2,-z'
'-x+1/2,y+1/2,-z'
'x+1/2,-y+1/2,z'
loop_
_atom_site_label
_atom_site_type_symbol
_atom_site_fract_x
_atom_site_fract_y
_atom_site_fract_z
Mg1 Mg 0.0183 0.2113 0.2431
Mg2 Mg 0.0368 0.5000 0.7703
In1 In 0.0000 0.0000 0.5000
Ir1 Ir 0.0000 0.0000 0.0000
```

***

Arrangement ii

Material: Mg6InIr
Method: DFT, GGA-PBE
State: relaxed

## Properties
The mass density comes out at 4.71 g/cm³.

CIF file:
```
data_Mg6InIr
_symmetry_space_group_name_H-M 'C m m m'
_symmetry_Int_Tables_number 65
_symmetry_space_group_name_Hall '-C 2 2'
_cell_length_a 8.3362
_cell_length_b 12.2587
_cell_length_c 12.5053
_cell_angle_alpha 90.00
_cell_angle_beta 90.00
_cell_angle_gamma 90.00
loop_
_atom_site_label
_atom_site_type_symbol
_atom_site_fract_x
_atom_site_fract_y
_atom_site_fract_z
Mg1 Mg 0.0000 0.0000 0.0000
Mg2 Mg 0.0000 0.0000 0.5000
Mg3 Mg 0.0000 0.2492 0.2283
Mg4 Mg 0.0000 0.5000 0.0000
Mg5 Mg 0.0000 0.5000 0.5000
Mg6 Mg 0.2242 0.3783 0.3608
Mg7 Mg 0.2338 0.3713 0.1148
In1 In 0.0000 0.0000 0.2481
In2 In 0.0000 0.2373 0.5000
Ir1 Ir 0.0000 0.2385 0.0000
Ir2 Ir 0.0000 0.5000 0.2416
```

***

The least stable of them is arrangement i.

***

Arrangement i

Material: MgIn3Ir
Method: DFT, GGA-PBE
State: relaxed

## Properties
The mass density comes out at 7.70 g/cm³.

CIF file:
```
data_MgIn3Ir
_symmetry_space_group_name_H-M 'C 1 2/m 1'
_symmetry_Int_Tables_number 12
_cell_length_a 10.5786
_cell_length_b 8.4039
_cell_length_c 7.1030
_cell_angle_alpha 90.00
_cell_angle_beta 129.95
_cell_angle_gamma 90.00
loop_
_symmetry_equiv_pos_as_xyz
'x,y,z'
'-x,-y,-z'
'-x,y,-z'
'x,-y,z'
'x+1/2,y+1/2,z'
'-x+1/2,-y+1/2,-z'
'-x+1/2,y+1/2,-z'
'x+1/2,-y+1/2,z'
loop_
_atom_site_label
_atom_site_type_symbol
_atom_site_fract_x
_atom_site_fract_y
_atom_site_fract_z
Mg1 Mg 0.0605 0.0000 0.2524
In1 In 0.0808 0.5000 0.3647
In2 In 0.2248 0.1854 0.7719
Ir1 Ir 0.2427 0.5000 0.8708
```

***

Arrangement ii

Material: MgIn3Ir
Method: DFT, GGA-PBE
State: relaxed

## Properties
The mass density comes out at 6.60 g/cm³.

CIF file:
```
data_MgIn3Ir
_symmetry_space_group_name_H-M 'P m -3 m'
_symmetry_Int_Tables_number 221
_symmetry_space_group_name_Hall '-P 4 2 3'
_cell_length_a 5.2071
_cell_length_b 5.2071
_cell_length_c 5.2071
_cell_angle_alpha 90.00
_cell_angle_beta 90.00
_cell_angle_gamma 90.00
loop_
_atom_site_label
_atom_site_type_symbol
_atom_site_fract_x
_atom_site_fract_y
_atom_site_fract_z
Mg1 Mg 0.0000 0.0000 0.0000
In1 In 0.0000 0.5000 0.5000
Ir1 Ir 0.5000 0.5000 0.5000
```

***

The least stable of them is arrangement ii.

***

Arrangement i

Material: MgIn4Ir
Method: DFT, GGA-PBE
State: relaxed

## Properties
The mass density comes out at 8.05 g/cm³.

CIF file:
```
data_MgIn4Ir
_symmetry_space_group_name_H-M 'F -4 3 m'
_symmetry_Int_Tables_number 216
_symmetry_space_group_name_Hall 'F -4 2 3'
_cell_length_a 8.2317
_cell_length_b 8.2317
_cell_length_c 8.2317
_cell_angle_alpha 90.00
_cell_angle_beta 90.00
_cell_angle_gamma 90.00
loop_
_atom_site_label
_atom_site_type_symbol
_atom_site_fract_x
_atom_site_fract_y
_atom_site_fract_z
Mg1 Mg 0.0000 0.0000 0.0000
In1 In 0.1245 0.1245 0.6245
Ir1 Ir 0.2500 0.2500 0.2500
```

***

Arrangement ii

Material: MgIn4Ir
Method: DFT, GGA-PBE
State: relaxed

## Properties
The mass density comes out at 8.43 g/cm³.

CIF file:
```
data_MgIn4Ir
_symmetry_space_group_name_H-M 'I 4/m c m'
_symmetry_Int_Tables_number 140
_symmetry_space_group_name_Hall '-I 4 2c'
_cell_length_a 6.9509
_cell_length_b 6.9509
_cell_length_c 11.0150
_cell_angle_alpha 90.00
_cell_angle_beta 90.00
_cell_angle_gamma 90.00
loop_
_atom_site_label
_atom_site_type_symbol
_atom_site_fract_x
_atom_site_fract_y
_atom_site_fract_z
Mg1 Mg 0.0000 0.0000 0.0000
In1 In 0.1583 0.3417 0.1405
Ir1 Ir 0.0000 0.0000 0.2500
```

***

The least stable of them is arrangement i.

***

Arrangement i

Material: Mg6In2Ir
Method: DFT, GGA-PBE
State: relaxed

## Properties
The mass density comes out at 4.77 g/cm³.

CIF file:
```
data_Mg6In2Ir
_symmetry_space_group_name_H-M 'C 1 2/m 1'
_symmetry_Int_Tables_number 12
_cell_length_a 15.1781
_cell_length_b 8.1100
_cell_length_c 3.2816
_cell_angle_alpha 90.00
_cell_angle_beta 102.18
_cell_angle_gamma 90.00
loop_
_symmetry_equiv_pos_as_xyz
'x,y,z'
'-x,-y,-z'
'-x,y,-z'
'x,-y,z'
'x+1/2,y+1/2,z'
'-x+1/2,-y+1/2,-z'
'-x+1/2,y+1/2,-z'
'x+1/2,-y+1/2,z'
loop_
_atom_site_label
_atom_site_type_symbol
_atom_site_fract_x
_atom_site_fract_y
_atom_site_fract_z
Mg1 Mg 0.0000 0.2343 0.0000
Mg2 Mg 0.1601 0.3216 0.6612
In1 In 0.1606 0.0000 0.1595
Ir1 Ir 0.0000 0.5000 0.5000
```

***

Arrangement ii

Material: Mg6In2Ir
Method: DFT, GGA-PBE
State: relaxed

## Properties
The mass density comes out at 4.81 g/cm³.

CIF file:
```
data_Mg6In2Ir
_symmetry_space_group_name_H-M 'I m m m'
_symmetry_Int_Tables_number 71
_symmetry_space_group_name_Hall '-I 2 2'
_cell_length_a 4.8808
_cell_length_b 8.0970
_cell_length_c 9.9196
_cell_angle_alpha 90.00
_cell_angle_beta 90.00
_cell_angle_gamma 90.00
loop_
_atom_site_label
_atom_site_type_symbol
_atom_site_fract_x
_atom_site_fract_y
_atom_site_fract_z
Mg1 Mg 0.0000 0.1729 0.0000
Mg2 Mg 0.0000 0.2020 0.3501
In1 In 0.0000 0.5000 0.1977
Ir1 Ir 0.0000 0.5000 0.5000
```

***

The least stable of them is arrangement i.

***

Arrangement i

Material: Mg4InIr
Method: DFT, GGA-PBE
State: relaxed

## Properties
The mass density comes out at 5.13 g/cm³.

CIF file:
```
data_Mg4InIr
_symmetry_space_group_name_H-M 'C 1 2/c 1'
_symmetry_Int_Tables_number 15
_cell_length_a 8.1926
_cell_length_b 12.3593
_cell_length_c 5.5210
_cell_angle_alpha 90.00
_cell_angle_beta 110.43
_cell_angle_gamma 90.00
loop_
_symmetry_equiv_pos_as_xyz
'x,y,z'
'-x,-y,-z'
'-x,y,-z+1/2'
'x,-y,z+1/2'
'x+1/2,y+1/2,z'
'-x+1/2,-y+1/2,-z'
'-x+1/2,y+1/2,-z+1/2'
'x+1/2,-y+1/2,z+1/2'
loop_
_atom_site_label
_atom_site_type_symbol
_atom_site_fract_x
_atom_site_fract_y
_atom_site_fract_z
Mg1 Mg 0.1112 0.1725 0.0596
Mg2 Mg 0.2225 0.4204 0.3553
In1 In 0.0000 0.3761 0.7500
Ir1 Ir 0.0000 0.0023 0.2500
```

***

Arrangement ii

Material: Mg4InIr
Method: DFT, GGA-PBE
State: relaxed

## Properties
The mass density comes out at 5.84 g/cm³.

CIF file:
```
data_Mg4InIr
_symmetry_space_group_name_H-M 'F -4 3 m'
_symmetry_Int_Tables_number 216
_symmetry_space_group_name_Hall 'F -4 2 3'
_cell_length_a 7.7161
_cell_length_b 7.7161
_cell_length_c 7.7161
_cell_angle_alpha 90.00
_cell_angle_beta 90.00
_cell_angle_gamma 90.00
loop_
_atom_site_label
_atom_site_type_symbol
_atom_site_fract_x
_atom_site_fract_y
_atom_site_fract_z
Mg1 Mg 0.1244 0.1244 0.3756
In1 In 0.0000 0.0000 0.0000
Ir1 Ir 0.2500 0.2500 0.7500
```

***

The least stable of them is arrangement ii.